Entry 1:
The following is a DFT calculation (GGA-PBEsol) of a relaxed structure of ZrFe4Ag. Values from VASP.

Geometry as Quantum ESPRESSO input:
```
&SYSTEM
  ibrav = 0, nat = 6, ntyp = 3
/
ATOMIC_SPECIES
Ag 107.87 Ag.upf
Fe 55.84 Fe.upf
Zr 91.22 Zr.upf
CELL_PARAMETERS angstrom
4.813 0.000 0.000
2.406 4.168 0.000
2.406 1.389 3.930
ATOMIC_POSITIONS crystal
Ag 0.000 0.000 0.000
Fe 0.375 0.375 0.375
Fe 0.375 0.375 0.876
Fe 0.876 0.375 0.375
Fe 0.375 0.876 0.375
Zr 0.750 0.750 0.750
```

Output
- Size of the total moment: 6.8 μB/cell
- DFT formation energy: -0.0593 eV per atom
- Theoretical density: 8.9 g cm⁻³
- Uncorrected energy: -8.102 eV/atom

=====

Entry 2:
The following is a DFT calculation (GGA-PBEsol) of a relaxed structure of LaTeCl. Values from VASP.

Geometry as Quantum ESPRESSO input:
```
&SYSTEM
  ibrav = 0, nat = 6, ntyp = 3
/
ATOMIC_SPECIES
Te 127.60 Te.upf
La 138.91 La.upf
Cl 35.45 Cl.upf
CELL_PARAMETERS angstrom
-0.804 -3.402 -2.795
0.432 -2.888 3.391
-8.029 0.622 1.552
ATOMIC_POSITIONS crystal
Te 0.000 0.500 0.362
Te 0.500 0.000 0.638
La 0.000 0.500 0.760
La 0.500 0.000 0.240
Cl 0.000 0.000 0.000
Cl 0.500 0.500 0.000
```

Output
- Size of the total moment: 0.0 μB/cell
- Theoretical density: 6.1 g cm⁻³
- Uncorrected energy: -5.616 eV/atom
- Formation energy (no corrections): -1989 meV/atom
- ΔE to the lowest computed polymorph: 4 meV per atom

=====

Please write out number 1 again, unchanged.
The following is a DFT calculation (GGA-PBEsol) of a relaxed structure of ZrFe4Ag. Values from VASP.

Geometry as Quantum ESPRESSO input:
```
&SYSTEM
  ibrav = 0, nat = 6, ntyp = 3
/
ATOMIC_SPECIES
Ag 107.87 Ag.upf
Fe 55.84 Fe.upf
Zr 91.22 Zr.upf
CELL_PARAMETERS angstrom
4.813 0.000 0.000
2.406 4.168 0.000
2.406 1.389 3.930
ATOMIC_POSITIONS crystal
Ag 0.000 0.000 0.000
Fe 0.375 0.375 0.375
Fe 0.375 0.375 0.876
Fe 0.876 0.375 0.375
Fe 0.375 0.876 0.375
Zr 0.750 0.750 0.750
```

Output
- Size of the total moment: 6.8 μB/cell
- DFT formation energy: -0.0593 eV per atom
- Theoretical density: 8.9 g cm⁻³
- Uncorrected energy: -8.102 eV/atom

=====

Q: Which formula does entry 2 have?
A: LaTeCl